Entry 1:
First-principles (GGA-PBE) data for a relaxed TcAs2Cl crystal, as listed in Alexandria.

```
TcAs2Cl
1.0
4.845 0.000 0.000
1.270 4.676 0.000
-3.057 -2.338 2.943
As Tc Cl
2 1 1
Direct
0.000 0.000 0.000
0.500 0.500 0.000
0.750 0.250 0.500
0.250 0.750 0.500
```

Results
raw formation energy = 0.5275 eV/atom
crystal system = tetragonal
distance to the lowest polymorph of the same formula = 619 meV/atom
calculated density = 7.06 g cm⁻³

Entry 2:
First-principles (GGA-PBE) data for a relaxed TcAs3Cl crystal, as listed in Alexandria.

```
TcAs3Cl
1.0
-3.896 1.855 1.990
-2.397 -0.695 -4.044
-1.288 -4.319 1.505
As Cl Tc
3 1 1
Direct
0.000 0.000 0.500
0.000 0.500 0.000
0.500 0.000 0.000
0.000 0.000 0.000
0.500 0.500 0.500
```

Results
raw formation energy = 1.4623 eV/atom
crystal system = cubic
distance to the lowest polymorph of the same formula = 1156 meV/atom
calculated density = 5.54 g cm⁻³

Entry 3:
First-principles (GGA-PBE) data for a relaxed TcAs2Cl crystal, as listed in Alexandria.

```
TcAs2Cl
1.0
4.753 0.003 0.006
3.665 3.027 0.006
1.605 0.578 6.301
As Tc Cl
2 1 1
Direct
0.927 0.927 0.102
0.777 0.777 0.826
0.213 0.213 0.136
0.582 0.582 0.436
```

Results
raw formation energy = -0.0917 eV/atom
crystal system = monoclinic
distance to the lowest polymorph of the same formula = 0 meV/atom
calculated density = 5.20 g cm⁻³

Entry 4:
First-principles (GGA-PBE) data for a relaxed Tc2AsCl crystal, as listed in Alexandria.

```
Tc2AsCl
1.0
3.038 0.004 0.000
-1.546 2.615 0.000
0.000 0.000 8.074
Tc As Cl
2 1 1
Direct
0.000 0.000 0.487
0.000 0.000 0.013
0.500 0.500 0.250
0.500 0.500 0.750
```

Results
raw formation energy = 0.4898 eV/atom
crystal system = orthorhombic
distance to the lowest polymorph of the same formula = 552 meV/atom
calculated density = 7.93 g cm⁻³

Entry 5:
First-principles (GGA-PBE) data for a relaxed Tc2AsCl crystal, as listed in Alexandria.

```
Tc2AsCl
1.0
3.086 0.000 0.000
0.000 3.086 0.000
0.000 0.000 6.486
Tc As Cl
2 1 1
Direct
0.000 0.000 0.462
0.000 0.000 0.038
0.500 0.500 0.250
0.500 0.500 0.750
```

Results
raw formation energy = 0.3617 eV/atom
crystal system = tetragonal
distance to the lowest polymorph of the same formula = 423 meV/atom
calculated density = 8.24 g cm⁻³

Entry 6:
First-principles (GGA-PBE) data for a relaxed TcAsCl crystal, as listed in Alexandria.

```
TcAsCl
1.0
7.321 0.038 0.000
6.079 4.079 0.000
-6.700 -2.059 2.114
Tc Cl As
1 1 1
Direct
0.667 0.667 0.000
0.279 0.279 0.000
0.054 0.054 0.000
```

Results
raw formation energy = 0.0124 eV/atom
crystal system = tetragonal
distance to the lowest polymorph of the same formula = 92 meV/atom
calculated density = 5.52 g cm⁻³

Entry 7:
First-principles (GGA-PBE) data for a relaxed TcAs2Cl2 crystal, as listed in Alexandria.

```
TcAs2Cl2
1.0
6.841 0.000 0.000
0.000 6.841 0.000
0.000 0.000 5.174
Cl Tc As
4 2 4
Direct
0.758 0.742 0.500
0.742 0.242 0.500
0.258 0.758 0.500
0.242 0.258 0.500
0.500 0.500 0.000
0.000 0.000 0.000
0.246 0.254 0.000
0.754 0.746 0.000
0.746 0.246 0.000
0.254 0.754 0.000
```

Results
raw formation energy = 0.2854 eV/atom
crystal system = tetragonal
distance to the lowest polymorph of the same formula = 0 meV/atom
calculated density = 4.37 g cm⁻³

Entry 8:
First-principles (GGA-PBE) data for a relaxed Tc2AsCl crystal, as listed in Alexandria.

```
Tc2AsCl
1.0
4.485 0.000 0.000
2.242 3.884 0.000
2.242 1.295 3.662
As Tc Cl
1 2 1
Direct
0.500 0.500 0.500
0.000 0.000 0.000
0.250 0.250 0.250
0.750 0.750 0.750
```

Results
raw formation energy = 0.8063 eV/atom
crystal system = cubic
distance to the lowest polymorph of the same formula = 868 meV/atom
calculated density = 7.98 g cm⁻³

Entry 9:
First-principles (GGA-PBE) data for a relaxed TcAs2Cl crystal, as listed in Alexandria.

```
TcAs2Cl
1.0
5.083 0.000 0.000
0.000 3.757 0.000
0.000 0.000 3.757
Tc As Cl
1 2 1
Direct
0.500 0.000 0.500
0.000 0.000 0.000
0.000 0.500 0.500
0.500 0.500 0.000
```

Results
raw formation energy = 0.6645 eV/atom
crystal system = tetragonal
distance to the lowest polymorph of the same formula = 756 meV/atom
calculated density = 6.56 g cm⁻³

Entry 10:
First-principles (GGA-PBE) data for a relaxed Tc2AsCl crystal, as listed in Alexandria.

```
Tc2AsCl
1.0
3.883 0.000 0.000
0.000 2.953 -0.023
0.000 2.615 6.836
Tc As Cl
2 1 1
Direct
0.500 0.280 0.205
0.000 0.912 0.042
0.000 0.605 0.392
0.500 0.704 0.861
```

Results
raw formation energy = 0.1414 eV/atom
crystal system = monoclinic
distance to the lowest polymorph of the same formula = 203 meV/atom
calculated density = 6.47 g cm⁻³

Entry 11:
First-principles (GGA-PBE) data for a relaxed Tc2AsCl crystal, as listed in Alexandria.

```
Tc2AsCl
1.0
2.891 0.000 0.000
0.000 5.524 0.000
0.000 0.000 4.070
Tc As Cl
2 1 1
Direct
0.500 0.500 0.000
0.000 0.000 0.000
0.500 0.000 0.500
0.000 0.500 0.500
```

Results
raw formation energy = 0.6058 eV/atom
crystal system = orthorhombic
distance to the lowest polymorph of the same formula = 668 meV/atom
calculated density = 7.83 g cm⁻³

Entry 12:
First-principles (GGA-PBE) data for a relaxed TcAs3Cl crystal, as listed in Alexandria.

```
TcAs3Cl
1.0
4.833 0.000 0.000
0.000 4.833 0.000
0.000 0.000 4.833
Tc Cl As
1 1 3
Direct
0.000 0.000 0.000
0.500 0.500 0.500
0.000 0.000 0.500
0.000 0.500 0.000
0.500 0.000 0.000
```

Results
raw formation energy = 0.3066 eV/atom
crystal system = cubic
distance to the lowest polymorph of the same formula = 0 meV/atom
calculated density = 5.27 g cm⁻³

Entry 13:
First-principles (GGA-PBE) data for a relaxed TcAsCl crystal, as listed in Alexandria.

```
TcAsCl
1.0
-1.023 3.206 -2.632
-2.170 -0.795 -3.594
-4.069 1.252 -0.360
Cl As Tc
1 1 1
Direct
0.500 0.500 0.500
0.000 0.000 0.000
0.750 0.750 0.750
```

Results
raw formation energy = 0.2453 eV/atom
crystal system = cubic
distance to the lowest polymorph of the same formula = 325 meV/atom
calculated density = 6.27 g cm⁻³

Entry 14:
First-principles (GGA-PBE) data for a relaxed Tc2AsCl crystal, as listed in Alexandria.

```
Tc2AsCl
1.0
-0.491 -2.757 0.784
0.970 0.589 2.678
-8.291 2.194 2.522
Tc Cl As
2 1 1
Direct
0.000 0.000 0.028
0.500 0.500 0.217
0.500 0.500 0.843
0.000 0.000 0.412
```

Results
raw formation energy = -0.0618 eV/atom
crystal system = tetragonal
distance to the lowest polymorph of the same formula = 0 meV/atom
calculated density = 6.73 g cm⁻³

Entry 15:
First-principles (GGA-PBE) data for a relaxed TcAs2Cl crystal, as listed in Alexandria.

```
TcAs2Cl
1.0
-2.797 3.965 0.591
-3.982 -2.664 -0.970
-0.274 -0.612 2.807
Cl As Tc
1 2 1
Direct
0.500 0.000 0.500
0.500 0.500 0.000
0.000 0.000 0.000
0.000 0.500 0.500
```

Results
raw formation energy = 0.6214 eV/atom
crystal system = tetragonal
distance to the lowest polymorph of the same formula = 713 meV/atom
calculated density = 6.82 g cm⁻³

Entry 16:
First-principles (GGA-PBE) data for a relaxed Tc2AsCl crystal, as listed in Alexandria.

```
Tc2AsCl
1.0
4.779 0.007 0.000
1.392 4.572 0.000
-3.086 -2.290 2.842
Tc Cl As
2 1 1
Direct
0.000 0.000 0.000
0.250 0.750 0.500
0.750 0.250 0.500
0.500 0.500 0.000
```

Results
raw formation energy = 0.7626 eV/atom
crystal system = tetragonal
distance to the lowest polymorph of the same formula = 824 meV/atom
calculated density = 8.20 g cm⁻³

Entry 17:
First-principles (GGA-PBE) data for a relaxed Tc2AsCl crystal, as listed in Alexandria.

```
Tc2AsCl
1.0
5.868 -0.003 0.006
3.730 4.530 -0.006
-4.467 -2.967 2.382
As Tc Cl
1 2 1
Direct
0.534 0.534 0.000
0.961 0.961 0.000
0.738 0.238 0.500
0.267 0.767 0.500
```

Results
raw formation energy = 0.3941 eV/atom
crystal system = orthorhombic
distance to the lowest polymorph of the same formula = 456 meV/atom
calculated density = 8.04 g cm⁻³

Entry 18:
First-principles (GGA-PBE) data for a relaxed TcAs2Cl crystal, as listed in Alexandria.

```
TcAs2Cl
1.0
3.041 -0.001 0.000
-1.491 2.650 0.000
0.000 0.000 9.347
Tc As Cl
1 2 1
Direct
0.500 0.500 0.757
0.500 0.500 0.226
0.000 0.000 0.966
0.000 0.000 0.551
```

Results
raw formation energy = 0.3591 eV/atom
crystal system = orthorhombic
distance to the lowest polymorph of the same formula = 451 meV/atom
calculated density = 6.25 g cm⁻³

Entry 19:
First-principles (GGA-PBE) data for a relaxed Tc2AsCl crystal, as listed in Alexandria.

```
Tc2AsCl
1.0
2.921 -0.012 0.000
-1.462 2.528 0.000
0.000 0.000 9.960
Tc Cl As
2 1 1
Direct
0.500 0.500 0.230
0.000 0.000 0.012
0.500 0.500 0.815
0.000 0.000 0.443
```

Results
raw formation energy = 0.3093 eV/atom
crystal system = orthorhombic
distance to the lowest polymorph of the same formula = 371 meV/atom
calculated density = 6.93 g cm⁻³

Entry 20:
First-principles (GGA-PBE) data for a relaxed TcAsCl crystal, as listed in Alexandria.

```
TcAsCl
1.0
8.242 -0.054 0.033
7.418 2.873 0.025
0.823 -1.348 2.599
Tc Cl As
1 1 1
Direct
0.332 0.332 0.668
0.709 0.709 0.291
0.959 0.959 0.041
```

Results
raw formation energy = 0.1942 eV/atom
crystal system = orthorhombic
distance to the lowest polymorph of the same formula = 273 meV/atom
calculated density = 5.54 g cm⁻³